(1)
# Li9Fe4P4O20

A relaxed Li9Fe4P4O20 crystal (PBE with a Hubbard U, Alexandria via LeMat-Bulk).

CIF file:
```
data_Li9Fe4P4O20
_chemical_formula_sum 'Li9 Fe4 P4 O20'
_space_group_name_H-M_alt 'P 1'
_space_group_IT_number 1
_space_group_name_Hall 'P 1'
_cell_length_a 4.9190
_cell_length_b 5.6495
_cell_length_c 15.9166
_cell_angle_alpha 89.32
_cell_angle_beta 89.98
_cell_angle_gamma 89.70
loop_
_atom_site_label
_atom_site_fract_x
_atom_site_fract_y
_atom_site_fract_z
Li1 0.0000 0.0000 0.0000
Li2 0.0051 0.5141 0.6863
Li3 0.0106 0.9578 0.3892
Li4 0.0162 0.9989 0.5772
Li5 0.4933 0.2911 0.1859
Li6 0.4982 0.8257 0.0886
Li7 0.5066 0.3675 0.7873
Li8 0.5166 0.7920 0.4912
Li9 0.9925 0.4906 0.1015
Fe1 0.0051 0.5172 0.8909
Fe2 0.0165 0.0202 0.7892
Fe3 0.5153 0.2991 0.3885
Fe4 0.5233 0.7905 0.2912
P1 0.0046 0.9791 0.1835
P2 0.0066 0.4703 0.4970
P3 0.5078 0.3290 0.9946
P4 0.5344 0.8595 0.6890
O1 0.0508 0.3549 0.5838
O2 0.0506 0.8438 0.8884
O3 0.0975 0.8186 0.1083
O4 0.1048 0.2307 0.1651
O5 0.1129 0.3443 0.7950
O6 0.1135 0.8840 0.2692
O7 0.1188 0.7270 0.4905
O8 0.1361 0.3017 0.4294
O9 0.1860 0.3523 0.9843
O10 0.2104 0.8677 0.6960
O11 0.5470 0.4494 0.2868
O12 0.5912 0.0708 0.0047
O13 0.5984 0.4848 0.0680
O14 0.6124 0.9804 0.3920
O15 0.6228 0.9166 0.5999
O16 0.6276 0.4309 0.9088
O17 0.6413 0.0574 0.7510
O18 0.6435 0.6226 0.7228
O19 0.6846 0.9706 0.1865
O20 0.6952 0.4824 0.4757
```

---

(2)
# LiFe2P2O8

A relaxed LiFe2P2O8 crystal (PBE with a Hubbard U, Alexandria via LeMat-Bulk).

Values from the calculation:
- ΔE to the lowest computed polymorph (meV/atom) = 22

CIF file:
```
data_LiFe2P2O8
_chemical_formula_sum 'Li2 Fe4 P4 O16'
_space_group_name_H-M_alt 'P 1 c 1'
_space_group_IT_number 7
_space_group_name_Hall 'P -2yc'
_cell_length_a 5.2120
_cell_length_b 7.0399
_cell_length_c 10.1711
_cell_angle_alpha 90.00
_cell_angle_beta 93.95
_cell_angle_gamma 90.00
loop_
_atom_site_label
_atom_site_fract_x
_atom_site_fract_y
_atom_site_fract_z
Li1 0.0000 0.2201 0.0000
Fe1 0.0255 0.2465 0.6154
Fe2 0.4791 0.2388 0.2520
P1 0.5090 0.0295 0.5210
P2 0.9932 0.4835 0.3410
O1 0.2682 0.4364 0.2993
O2 0.3762 0.1558 0.0742
O3 0.3989 0.2049 0.5847
O4 0.4473 0.0308 0.3684
O5 0.8036 0.0117 0.5537
O6 0.8142 0.3371 0.2650
O7 0.9363 0.3082 0.8013
O8 0.9738 0.4739 0.4909
```

---

Table of electronic total energy (eV per atom), in record order: -6.432 -6.920
Table of total moment (μB per formula unit), in record order: 19.000 9.000